# 1
DFT (PBE-GGA) results for an optimized crystal structure of ScAsIr2.

a = 4.524 Å, b = 4.524 Å, c = 4.524 Å
α = 60.00°, β = 60.00°, γ = 60.00°
Fractional coordinates of all 4 atoms:
Ir 0.000 0.000 0.000
Sc 0.250 0.250 0.250
As 0.500 0.500 0.500
Ir 0.750 0.750 0.750

Computed properties:
formation energy = -0.157 eV/atom
SG = No. 216



# 2
DFT (PBE-GGA) results for an optimized crystal structure of ScAsIr2.

a = 3.010 Å, b = 3.010 Å, c = 7.116 Å
α = 90.00°, β = 90.00°, γ = 90.00°
Fractional coordinates of all 4 atoms:
As 0.500 0.500 0.750
Sc 0.500 0.500 0.250
Ir 0.000 0.000 0.976
Ir 0.000 0.000 0.524

Computed properties:
formation energy = -0.432 eV/atom
SG = No. 123



| no. | total DFT energy (no corrections) (eV per atom) |
| --- | --- |
| 1 | -7.33 |
| 2 | -7.61 |